{"formula": "Li3H3Pd5", "functional": "PBE-GGA", "state": "relaxed", "lattice_angstrom": [[7.260, 0.000, 0.000], [-3.630, 6.288, 0.000], [0.000, 0.000, 2.825]], "species": ["Li", "Li", "Li", "H", "H", "H", "Pd", "Pd", "Pd", "Pd", "Pd"], "frac_coords": [[0.000, 0.620, 0.000], [0.380, 0.380, 0.000], [0.620, 0.000, 0.000], [0.000, 0.811, 0.500], [0.189, 0.189, 0.500], [0.811, 0.000, 0.500], [0.000, 0.265, 0.500], [0.265, 0.000, 0.500], [0.333, 0.667, 0.500], [0.667, 0.333, 0.500], [0.735, 0.735, 0.500]], "space_group": "P-62m", "density_g_cm3": 7.160, "energy_ev_per_cell": -44.33}

=====

{"formula": "PrNdGaSn", "functional": "PBE-GGA", "state": "relaxed", "lattice_angstrom": [[4.285, 0.000, 0.000], [0.000, 2.317, 5.809], [0.000, -2.317, 5.809]], "species": ["Pr", "Nd", "Ga", "Sn"], "frac_coords": [[0.000, 0.000, 0.000], [0.500, 0.281, 0.281], [0.500, 0.555, 0.555], [0.000, 0.714, 0.714]], "space_group": "Amm2", "e_form_mev_per_atom": -707, "de_polymorph_mev_per_atom": 0, "density_g_cm3": 6.819, "energy_ev_per_cell": -19.41}

=====

{"formula": "Ca3GaSe", "functional": "PBE-GGA", "state": "relaxed", "lattice_angstrom": [[5.508, 0.000, 0.000], [0.000, 5.508, 0.000], [0.000, 0.000, 5.508]], "species": ["Ca", "Ca", "Ca", "Ga", "Se"], "frac_coords": [[0.000, 0.000, 0.500], [0.000, 0.500, 0.000], [0.500, 0.000, 0.000], [0.500, 0.500, 0.500], [0.000, 0.000, 0.000]], "space_group": "Pm-3m", "de_polymorph_mev_per_atom": 0, "density_g_cm3": 2.672, "energy_ev_per_cell": -15.87}

=====

{"formula": "Rb2LiCu2Br7", "functional": "PBE-GGA", "state": "relaxed", "lattice_angstrom": [[3.670, -3.670, 0.000], [3.670, 3.670, 0.000], [-3.668, 0.000, 13.307]], "species": ["Rb", "Rb", "Li", "Cu", "Cu", "Br", "Br", "Br", "Br", "Br", "Br", "Br"], "frac_coords": [[0.177, 0.177, 0.354], [0.823, 0.823, 0.646], [0.000, 0.000, 0.000], [0.406, 0.406, 0.810], [0.594, 0.594, 0.190], [0.084, 0.584, 0.170], [0.311, 0.311, 0.620], [0.416, 0.916, 0.830], [0.500, 0.500, 0.000], [0.584, 0.084, 0.170], [0.689, 0.689, 0.380], [0.916, 0.416, 0.830]], "space_group": "C2/m", "density_g_cm3": 4.004, "energy_ev_per_cell": -34.41}

=====

{"formula": "ZnPdI2", "functional": "PBE-GGA", "state": "relaxed", "lattice_angstrom": [[0.000, 3.668, 3.668], [3.668, 0.000, 3.668], [3.668, 3.668, 0.000]], "species": ["Zn", "Pd", "I", "I"], "frac_coords": [[0.000, 0.000, 0.000], [0.500, 0.500, 0.500], [0.250, 0.250, 0.250], [0.750, 0.750, 0.750]], "space_group": "Fm-3m", "de_polymorph_mev_per_atom": 457, "density_g_cm3": 7.164, "energy_ev_per_cell": -8.20}

=====

{"formula": "Al2NiIr", "functional": "PBE-GGA", "state": "relaxed", "lattice_angstrom": [[1.409, 0.813, 8.156], [-1.409, 0.813, 8.156], [0.000, -1.627, 8.156]], "species": ["Al", "Al", "Ni", "Ir"], "frac_coords": [[0.000, 0.000, 0.000], [0.241, 0.241, 0.241], [0.500, 0.500, 0.500], [0.747, 0.747, 0.747]], "space_group": "R3m", "e_form_mev_per_atom": -253, "density_g_cm3": 9.030, "energy_ev_per_cell": -23.14}

=====

Copy entry 5 word for word.
{"formula": "ZnPdI2", "functional": "PBE-GGA", "state": "relaxed", "lattice_angstrom": [[0.000, 3.668, 3.668], [3.668, 0.000, 3.668], [3.668, 3.668, 0.000]], "species": ["Zn", "Pd", "I", "I"], "frac_coords": [[0.000, 0.000, 0.000], [0.500, 0.500, 0.500], [0.250, 0.250, 0.250], [0.750, 0.750, 0.750]], "space_group": "Fm-3m", "de_polymorph_mev_per_atom": 457, "density_g_cm3": 7.164, "energy_ev_per_cell": -8.20}